Cd4Tc after structural relaxation, computed with PBEsol.

## Properties
- E (eV per atom) = -2.507
- ΔH_f (0 K) (eV per atom) = 0.704
- total moment (μB/f.u.) = 1.51
- V (Å³ per cell) = 203

Cell and atoms, written as CIF:
```
data_Cd4Tc
_cell_length_a 3.773
_cell_length_b 3.773
_cell_length_c 14.263
_cell_angle_alpha 90.00
_cell_angle_beta 90.00
_cell_angle_gamma 90.00
_symmetry_space_group_name_H-M 'I 4/m m m'
_symmetry_Int_Tables_number 139
_symmetry_space_group_name_Hall '-I 4 2'
loop_
_atom_site_label
_atom_site_type_symbol
_atom_site_fract_x
_atom_site_fract_y
_atom_site_fract_z
Cd1 Cd 0.000 0.000 0.092
Cd2 Cd 0.000 0.500 0.250
Tc1 Tc 0.000 0.000 0.500
```

HfTaFe3 after structural relaxation, computed with PBEsol.

## Properties
- E (eV per atom) = -8.422
- ΔH_f (0 K) (eV per atom) = 1.567
- total moment (μB/f.u.) = 2.53
- V (Å³ per cell) = 81

Cell and atoms, written as CIF:
```
data_HfTaFe3
_cell_length_a 4.326
_cell_length_b 4.326
_cell_length_c 4.326
_cell_angle_alpha 90.00
_cell_angle_beta 90.00
_cell_angle_gamma 90.00
_symmetry_space_group_name_H-M 'P m -3 m'
_symmetry_Int_Tables_number 221
_symmetry_space_group_name_Hall '-P 4 2 3'
loop_
_atom_site_label
_atom_site_type_symbol
_atom_site_fract_x
_atom_site_fract_y
_atom_site_fract_z
Hf1 Hf 0.000 0.000 0.000
Ta1 Ta 0.500 0.500 0.500
Fe1 Fe 0.000 0.000 0.500
```

TmBRh3 after structural relaxation, computed with PBEsol.

## Properties
- E (eV per atom) = -8.096
- ΔH_f (0 K) (eV per atom) = -0.830
- total moment (μB/f.u.) = 0.00
- V (Å³ per cell) = 70

Cell and atoms, written as CIF:
```
data_TmBRh3
_cell_length_a 4.121
_cell_length_b 4.121
_cell_length_c 4.121
_cell_angle_alpha 90.00
_cell_angle_beta 90.00
_cell_angle_gamma 90.00
_symmetry_space_group_name_H-M 'P m -3 m'
_symmetry_Int_Tables_number 221
_symmetry_space_group_name_Hall '-P 4 2 3'
loop_
_atom_site_label
_atom_site_type_symbol
_atom_site_fract_x
_atom_site_fract_y
_atom_site_fract_z
Tm1 Tm 0.000 0.000 0.000
B1 B 0.500 0.500 0.500
Rh1 Rh 0.000 0.500 0.500
```

RuPt2Rh after structural relaxation, computed with PBEsol.

## Properties
- E (eV per atom) = -8.028
- ΔH_f (0 K) (eV per atom) = 0.032
- ΔE to the lowest computed polymorph (meV per atom) = 69
- total moment (μB/f.u.) = 0.00
- V (Å³ per cell) = 113

Cell and atoms, written as CIF:
```
data_RuPt2Rh
_cell_length_a 8.982
_cell_length_b 2.713
_cell_length_c 4.717
_cell_angle_alpha 90.00
_cell_angle_beta 99.95
_cell_angle_gamma 90.00
_symmetry_space_group_name_H-M 'C 1 2/m 1'
_symmetry_Int_Tables_number 12
loop_
_symmetry_equiv_pos_as_xyz
'x,y,z'
'-x,-y,-z'
'-x,y,-z'
'x,-y,z'
'x+1/2,y+1/2,z'
'-x+1/2,-y+1/2,-z'
'-x+1/2,y+1/2,-z'
'x+1/2,-y+1/2,z'
loop_
_atom_site_label
_atom_site_type_symbol
_atom_site_fract_x
_atom_site_fract_y
_atom_site_fract_z
Ru1 Ru 0.000 0.000 0.000
Pt1 Pt 0.248 0.500 0.247
Rh1 Rh 0.000 0.500 0.500
```

ZnFePCl2 after structural relaxation, computed with PBEsol.

## Properties
- E (eV per atom) = -3.469
- E_form (uncorrected) (meV/atom) = 601
- ΔE to the lowest computed polymorph (meV per atom) = 441
- total moment (μB/f.u.) = 3.98
- V (Å³ per cell) = 103

Cell and atoms, written as CIF:
```
data_ZnFePCl2
_cell_length_a 4.563
_cell_length_b 4.563
_cell_length_c 4.949
_cell_angle_alpha 90.00
_cell_angle_beta 90.00
_cell_angle_gamma 90.00
_symmetry_space_group_name_H-M 'P 4/m m m'
_symmetry_Int_Tables_number 123
_symmetry_space_group_name_Hall '-P 4 2'
loop_
_atom_site_label
_atom_site_type_symbol
_atom_site_fract_x
_atom_site_fract_y
_atom_site_fract_z
Zn1 Zn 0.000 0.000 0.000
Fe1 Fe 0.500 0.500 0.500
P1 P 0.000 0.000 0.500
Cl1 Cl 0.000 0.500 0.000
```

Dy3Ho after structural relaxation, computed with PBEsol.

## Properties
- E (eV per atom) = -4.957
- ΔH_f (0 K) (eV per atom) = 0.014
- total moment (μB/f.u.) = 0.00
- V (Å³ per cell) = 117

Cell and atoms, written as CIF:
```
data_Dy3Ho
_cell_length_a 4.887
_cell_length_b 4.887
_cell_length_c 4.887
_cell_angle_alpha 90.00
_cell_angle_beta 90.00
_cell_angle_gamma 90.00
_symmetry_space_group_name_H-M 'P m -3 m'
_symmetry_Int_Tables_number 221
_symmetry_space_group_name_Hall '-P 4 2 3'
loop_
_atom_site_label
_atom_site_type_symbol
_atom_site_fract_x
_atom_site_fract_y
_atom_site_fract_z
Dy1 Dy 0.000 0.000 0.500
Ho1 Ho 0.500 0.500 0.500
```